(1)
{
  "formula": "TiGe4",
  "functional": "PBE-GGA",
  "state": "optimized geometry",
  "crystal_system": "cubic",
  "space_group": "Pm-3m (221)",
  "formation_enthalpy_0k_ev_per_fu": 2.3,
  "lattice": [[4.904, 0.000, 0.000], [0.000, 4.904, 0.000], [0.000, 0.000, 4.904]],
  "species": ["Ti", "Ge", "Ge", "Ge", "Ge"],
  "frac_coords": [[0.000, 0.000, 0.000], [0.000, 0.000, 0.500], [0.000, 0.500, 0.000], [0.500, 0.000, 0.000], [0.500, 0.500, 0.500]]
}

---

(2)
{
  "formula": "ZrInIr2",
  "functional": "PBE-GGA",
  "state": "optimized geometry",
  "crystal_system": "cubic",
  "space_group": "F-43m (216)",
  "formation_enthalpy_0k_ev_per_fu": -0.3,
  "lattice": [[6.574, 0.000, 0.000], [0.000, 6.574, 0.000], [0.000, 0.000, 6.574]],
  "species": ["Zr", "Zr", "Zr", "Zr", "In", "In", "In", "In", "Ir", "Ir", "Ir", "Ir", "Ir", "Ir", "Ir", "Ir"],
  "frac_coords": [[0.000, 0.000, 0.000], [0.000, 0.500, 0.500], [0.500, 0.000, 0.500], [0.500, 0.500, 0.000], [0.250, 0.250, 0.750], [0.250, 0.750, 0.250], [0.750, 0.250, 0.250], [0.750, 0.750, 0.750], [0.000, 0.000, 0.500], [0.000, 0.500, 0.000], [0.250, 0.250, 0.250], [0.250, 0.750, 0.750], [0.500, 0.000, 0.000], [0.500, 0.500, 0.500], [0.750, 0.250, 0.750], [0.750, 0.750, 0.250]]
}

---

(3)
{
  "formula": "Sc4Zn3Pt2",
  "functional": "PBE-GGA",
  "state": "optimized geometry",
  "crystal_system": "trigonal",
  "space_group": "P-3m1 (164)",
  "formation_enthalpy_0k_ev_per_fu": -6.7,
  "lattice": [[4.548, 0.000, 0.000], [-2.274, 3.939, 0.000], [0.000, 0.000, 9.240]],
  "species": ["Sc", "Sc", "Sc", "Sc", "Zn", "Zn", "Zn", "Pt", "Pt"],
  "frac_coords": [[0.000, 0.000, 0.171], [0.000, 0.000, 0.829], [0.333, 0.667, 0.386], [0.667, 0.333, 0.614], [0.000, 0.000, 0.500], [0.333, 0.667, 0.986], [0.667, 0.333, 0.014], [0.333, 0.667, 0.685], [0.667, 0.333, 0.315]]
}

---

(4)
{
  "formula": "Ba2HfHg",
  "functional": "PBE-GGA",
  "state": "optimized geometry",
  "crystal_system": "tetragonal",
  "space_group": "I-42d (122)",
  "formation_enthalpy_0k_ev_per_fu": 2.4,
  "lattice": [[9.332, 0.000, 0.000], [0.000, 9.332, 0.000], [0.000, 0.000, 6.687]],
  "species": ["Ba", "Ba", "Ba", "Ba", "Ba", "Ba", "Ba", "Ba", "Hf", "Hf", "Hf", "Hf", "Hg", "Hg", "Hg", "Hg"],
  "frac_coords": [[0.229, 0.250, 0.125], [0.250, 0.729, 0.375], [0.250, 0.771, 0.875], [0.271, 0.250, 0.625], [0.729, 0.750, 0.625], [0.750, 0.229, 0.875], [0.750, 0.271, 0.375], [0.771, 0.750, 0.125], [0.000, 0.000, 0.500], [0.000, 0.500, 0.750], [0.500, 0.000, 0.250], [0.500, 0.500, 0.000], [0.000, 0.000, 0.000], [0.000, 0.500, 0.250], [0.500, 0.000, 0.750], [0.500, 0.500, 0.500]]
}

---

(5)
{
  "formula": "Hg2PtW",
  "functional": "PBE-GGA",
  "state": "optimized geometry",
  "crystal_system": "tetragonal",
  "space_group": "I4/mmm (139)",
  "formation_enthalpy_0k_ev_per_fu": 2.9,
  "de_polymorph_ev_per_atom": 0.530,
  "lattice": [[4.233, 0.000, 0.000], [0.000, 4.233, 0.000], [0.000, 0.000, 8.255]],
  "species": ["Hg", "Hg", "Hg", "Hg", "Pt", "Pt", "W", "W"],
  "frac_coords": [[0.000, 0.500, 0.250], [0.000, 0.500, 0.750], [0.500, 0.000, 0.250], [0.500, 0.000, 0.750], [0.000, 0.000, 0.000], [0.500, 0.500, 0.500], [0.000, 0.000, 0.500], [0.500, 0.500, 0.000]]
}

---

(6)
{
  "formula": "Pm4MgRh",
  "functional": "PBE-GGA",
  "state": "optimized geometry",
  "crystal_system": "monoclinic",
  "space_group": "C2/c (15)",
  "formation_enthalpy_0k_ev_per_fu": -1.5,
  "de_polymorph_ev_per_atom": 0.115,
  "lattice": [[4.582, -6.508, 0.000], [4.582, 6.508, 0.000], [-1.788, 0.000, 5.960]],
  "species": ["Pm", "Pm", "Pm", "Pm", "Pm", "Pm", "Pm", "Pm", "Mg", "Mg", "Rh", "Rh"],
  "frac_coords": [[0.060, 0.720, 0.955], [0.190, 0.372, 0.607], [0.280, 0.940, 0.545], [0.372, 0.190, 0.107], [0.628, 0.810, 0.893], [0.720, 0.060, 0.455], [0.810, 0.628, 0.393], [0.940, 0.280, 0.045], [0.384, 0.616, 0.250], [0.616, 0.384, 0.750], [0.000, 0.000, 0.250], [0.000, 0.000, 0.750]]
}

---

(7)
{
  "formula": "Tm4Mg5Co2",
  "functional": "PBE-GGA",
  "state": "optimized geometry",
  "crystal_system": "monoclinic",
  "space_group": "P2/m (10)",
  "formation_enthalpy_0k_ev_per_fu": -1.5,
  "lattice": [[7.825, 0.000, 0.000], [0.000, 3.522, 0.000], [-0.731, 0.000, 9.396]],
  "species": ["Tm", "Tm", "Tm", "Tm", "Mg", "Mg", "Mg", "Mg", "Mg", "Co", "Co"],
  "frac_coords": [[0.169, 0.000, 0.333], [0.196, 0.000, 0.945], [0.804, 0.000, 0.055], [0.831, 0.000, 0.667], [0.173, 0.500, 0.647], [0.454, 0.500, 0.166], [0.500, 0.500, 0.500], [0.546, 0.500, 0.834], [0.827, 0.500, 0.353], [0.070, 0.500, 0.136], [0.930, 0.500, 0.864]]
}

---

(8)
{
  "formula": "SrZr2ZnN4",
  "functional": "PBE-GGA",
  "state": "optimized geometry",
  "crystal_system": "orthorhombic",
  "e_form_raw_kcal_per_mol_atoms": -25.7,
  "space_group": "Cmcm (63)",
  "lattice": [[1.680, -5.621, 0.000], [1.680, 5.621, 0.000], [0.000, 0.000, 11.500]],
  "species": ["Sr", "Sr", "Zr", "Zr", "Zr", "Zr", "Zn", "Zn", "N", "N", "N", "N", "N", "N", "N", "N"],
  "frac_coords": [[0.102, 0.898, 0.750], [0.898, 0.102, 0.250], [0.366, 0.634, 0.550], [0.366, 0.634, 0.950], [0.634, 0.366, 0.050], [0.634, 0.366, 0.450], [0.164, 0.836, 0.250], [0.836, 0.164, 0.750], [0.000, 0.000, 0.000], [0.000, 0.000, 0.500], [0.259, 0.741, 0.104], [0.259, 0.741, 0.396], [0.432, 0.568, 0.750], [0.568, 0.432, 0.250], [0.741, 0.259, 0.604], [0.741, 0.259, 0.896]]
}

---

(9)
{
  "formula": "Pu4Ga12Fe",
  "functional": "PBE-GGA",
  "state": "optimized geometry",
  "crystal_system": "cubic",
  "space_group": "Im-3m (229)",
  "formation_enthalpy_0k_ev_per_fu": -6.4,
  "lattice": [[-4.304, 4.304, 4.304], [4.304, -4.304, 4.304], [4.304, 4.304, -4.304]],
  "species": ["Pu", "Pu", "Pu", "Pu", "Ga", "Ga", "Ga", "Ga", "Ga", "Ga", "Ga", "Ga", "Ga", "Ga", "Ga", "Ga", "Fe"],
  "frac_coords": [[0.000, 0.000, 0.500], [0.000, 0.500, 0.000], [0.500, 0.000, 0.000], [0.500, 0.500, 0.500], [0.000, 0.281, 0.281], [0.000, 0.719, 0.719], [0.250, 0.500, 0.750], [0.250, 0.750, 0.500], [0.281, 0.000, 0.281], [0.281, 0.281, 0.000], [0.500, 0.250, 0.750], [0.500, 0.750, 0.250], [0.719, 0.000, 0.719], [0.719, 0.719, 0.000], [0.750, 0.250, 0.500], [0.750, 0.500, 0.250], [0.000, 0.000, 0.000]]
}

---

(10)
{
  "formula": "Fe2BiSe",
  "functional": "PBE-GGA",
  "state": "optimized geometry",
  "crystal_system": "tetragonal",
  "e_form_raw_kcal_per_mol_atoms": 10.8,
  "space_group": "I-42d (122)",
  "de_polymorph_ev_per_atom": 0.000,
  "lattice": [[6.218, 0.000, 0.000], [0.000, 6.218, 0.000], [0.000, 0.000, 9.744]],
  "species": ["Fe", "Fe", "Fe", "Fe", "Fe", "Fe", "Fe", "Fe", "Bi", "Bi", "Bi", "Bi", "Se", "Se", "Se", "Se"],
  "frac_coords": [[0.207, 0.250, 0.125], [0.250, 0.707, 0.375], [0.250, 0.793, 0.875], [0.293, 0.250, 0.625], [0.707, 0.750, 0.625], [0.750, 0.207, 0.875], [0.750, 0.293, 0.375], [0.793, 0.750, 0.125], [0.000, 0.000, 0.500], [0.000, 0.500, 0.750], [0.500, 0.000, 0.250], [0.500, 0.500, 0.000], [0.000, 0.000, 0.000], [0.000, 0.500, 0.250], [0.500, 0.000, 0.750], [0.500, 0.500, 0.500]]
}

---

(11)
{
  "formula": "TbTm7",
  "functional": "PBE-GGA",
  "state": "optimized geometry",
  "crystal_system": "orthorhombic",
  "space_group": "Immm (71)",
  "formation_enthalpy_0k_ev_per_fu": 0.3,
  "de_polymorph_ev_per_atom": 0.006,
  "lattice": [[3.471, 0.000, 0.000], [0.000, 10.926, 0.000], [0.000, 0.000, 12.782]],
  "species": ["Tb", "Tb", "Tm", "Tm", "Tm", "Tm", "Tm", "Tm", "Tm", "Tm", "Tm", "Tm", "Tm", "Tm", "Tm", "Tm"],
  "frac_coords": [[0.000, 0.000, 0.000], [0.500, 0.500, 0.500], [0.000, 0.229, 0.367], [0.000, 0.229, 0.633], [0.000, 0.500, 0.000], [0.000, 0.500, 0.259], [0.000, 0.500, 0.741], [0.000, 0.771, 0.367], [0.000, 0.771, 0.633], [0.500, 0.000, 0.241], [0.500, 0.000, 0.500], [0.500, 0.000, 0.759], [0.500, 0.271, 0.133], [0.500, 0.271, 0.867], [0.500, 0.729, 0.133], [0.500, 0.729, 0.867]]
}